No. 1
The following is a DFT calculation (PBE-GGA) of a relaxed structure of SrBiI3.

Cell: 6.2639 6.2639 6.2639 Å, 90.00 90.00 90.00°
Closest atoms and distances in Å follow each position.
Positions (direct):
I (0.0000, 0.5000, 0.0000)  2 Bi 3.13
I (0.0000, 0.0000, 0.5000)  2 Bi 3.13
I (0.5000, 0.0000, 0.0000)  2 Bi 3.13
Sr (0.5000, 0.5000, 0.5000)  12 I 4.43
Bi (0.0000, 0.0000, 0.0000)  6 I 3.13

Results
- Energy relative to the elements, uncorrected: -0.4379 eV/atom
- Excess energy over the best structure of this formula in the dataset: 98 meV per atom


No. 2
The following is a DFT calculation (PBE-GGA) of a relaxed structure of TlCuHg2Sb.

Cell: 5.1728 5.1728 5.1798 Å, 90.00 90.00 90.00°
Closest atoms and distances in Å follow each position.
Positions (direct):
Sb (0.0000, 0.0000, 0.5000)  2 Cu 2.59
Tl (0.5000, 0.5000, 0.5000)  4 Sb 3.66, 8 Hg 3.66
Hg (0.0000, 0.5000, 0.0000)  2 Cu 2.59
Hg (0.5000, 0.0000, 0.0000)  2 Cu 2.59
Cu (0.0000, 0.0000, 0.0000)  4 Hg 2.59, 2 Sb 2.59

Results
- Energy relative to the elements, uncorrected: 0.1507 eV/atom


No. 3
The following is a DFT calculation (PBE-GGA) of a relaxed structure of BaY2Te.

Cell: 6.5076 6.5076 6.5076 Å, 135.60 135.60 64.59°
Closest atoms and distances in Å follow each position.
Positions (direct):
Ba (0.5000, 0.5000, 0.0000)  8 Y 3.48-3.69, 4 Te 3.69
Te (0.7500, 0.2500, 0.5000)  8 Y 3.48-3.69, 4 Ba 3.69
Y (0.0000, 0.0000, 0.0000)  4 Ba 3.48, 4 Y 3.69, 4 Te 3.69
Y (0.2500, 0.7500, 0.5000)  4 Te 3.48, 4 Ba 3.69, 4 Y 3.69

Results
- Energy relative to the elements, uncorrected: -0.2535 eV/atom


No. 4
The following is a DFT calculation (PBE-GGA) of a relaxed structure of Dy3Mg2Pb4.

Cell: 4.7031 7.0709 8.4221 Å, 110.76 106.21 90.02°
Closest atoms and distances in Å follow each position.
Positions (direct):
Dy (0.1243, 0.6134, 0.2478)  7 Pb 3.24-3.51, 3 Mg 3.44-3.48
Dy (0.8757, 0.3866, 0.7522)  7 Pb 3.24-3.51, 3 Mg 3.44-3.48
Dy (0.0000, 0.0000, 0.0000)  6 Pb 3.11-3.38
Mg (0.6716, 0.0004, 0.3406)  4 Pb 2.96-3.07
Mg (0.3284, 0.9996, 0.6594)  4 Pb 2.96-3.07
Pb (0.4807, 0.6985, 0.9615)  1 Mg 3.02, 1 Pb 3.09, 4 Dy 3.11-3.24
Pb (0.2218, 0.2741, 0.4416)  3 Mg 2.96-3.07, 2 Dy 3.31-3.32
Pb (0.5193, 0.3015, 0.0385)  1 Mg 3.02, 1 Pb 3.09, 4 Dy 3.11-3.24
Pb (0.7782, 0.7259, 0.5584)  3 Mg 2.96-3.07, 2 Dy 3.31-3.32

Results
- ΔH_f (0 K): -368 meV per atom


No. 5
The following is a DFT calculation (PBE-GGA) of a relaxed structure of La2AlSn3Pd4.

Cell: 4.5662 4.5662 10.7163 Å, 90.00 90.00 90.00°
Closest atoms and distances in Å follow each position.
Positions (direct):
La (0.5000, 0.0000, 0.2499)  6 Sn 3.47-3.52, 8 Pd 3.50-3.52, 2 Al 3.52
La (0.0000, 0.5000, 0.7501)  6 Sn 3.47-3.52, 8 Pd 3.50-3.52, 2 Al 3.52
Al (0.5000, 0.5000, 0.5000)  4 Pd 2.64
Sn (0.0000, 0.0000, 0.5000)  4 Pd 2.64
Sn (0.5000, 0.0000, 0.8693)  5 Pd 2.63-2.68
Sn (0.0000, 0.5000, 0.1307)  5 Pd 2.63-2.68
Pd (0.5000, 0.5000, 0.0000)  4 Sn 2.68
Pd (0.0000, 0.0000, 0.0000)  4 Sn 2.68
Pd (0.5000, 0.0000, 0.6235)  3 Sn 2.63-2.64, 2 Al 2.64
Pd (0.0000, 0.5000, 0.3765)  3 Sn 2.63-2.64, 2 Al 2.64

Results
- ΔH_f (0 K): -836 meV per atom


No. 6
The following is a DFT calculation (PBE-GGA) of a relaxed structure of PmBiH2.

Cell: 3.7483 3.7483 6.2476 Å, 72.54 72.54 60.00°
Closest atoms and distances in Å follow each position.
Positions (direct):
H (0.6953, 0.6953, 0.9141)  3 Pm 2.22, 3 H 2.39
H (0.3047, 0.3047, 0.0859)  3 Pm 2.22, 3 H 2.39
Bi (0.5000, 0.5000, 0.5000)  8 H 3.25-3.43
Pm (0.0000, 0.0000, 0.0000)  6 H 2.22


No. 7
The following is a DFT calculation (PBE-GGA) of a relaxed structure of Rb2SeClF6.

Cell: 6.7348 6.7348 6.7064 Å, 59.86 59.86 90.00°
Closest atoms and distances in Å follow each position.
Positions (direct):
F (0.2031, 0.2031, 0.5938)  1 Se 1.92
F (0.7969, 0.7969, 0.4062)  1 Se 1.92
F (0.2014, 0.2014, 0.0000)  1 Se 1.92
F (0.7986, 0.7986, 0.0000)  1 Se 1.92
F (0.7986, 0.2014, 0.0000)  1 Se 1.92
F (0.2014, 0.7986, 0.0000)  1 Se 1.92
Se (0.0000, 0.0000, 0.0000)  6 F 1.92
Rb (0.7500, 0.2500, 0.5000)  12 F 3.39-3.40
Rb (0.2500, 0.7500, 0.5000)  12 F 3.39-3.40
Cl (0.5000, 0.5000, 0.0000)  6 F 2.80-2.84

Results
- Energy relative to the elements, uncorrected: -1.9010 eV/atom
- Excess energy over the best structure of this formula in the dataset: 25 meV per atom


No. 8
The following is a DFT calculation (PBE-GGA) of a relaxed structure of Rb2ZrPd2Se4.

Cell: 3.9897 8.2221 7.7561 Å, 107.33 104.90 90.00°
Closest atoms and distances in Å follow each position.
Positions (direct):
Rb (0.1337, 0.5711, 0.2674)  7 Se 3.44-3.60, 1 Pd 3.79, 1 Rb 3.81
Rb (0.8663, 0.4289, 0.7326)  7 Se 3.44-3.60, 1 Pd 3.79, 1 Rb 3.81
Zr (0.0000, 0.0000, 0.0000)  6 Se 2.77
Pd (0.6804, 0.9943, 0.3607)  4 Se 2.50-2.76
Pd (0.3196, 0.0057, 0.6393)  4 Se 2.50-2.76
Se (0.1896, 0.1813, 0.3791)  3 Pd 2.50-2.76, 1 Zr 2.77
Se (0.8104, 0.8187, 0.6209)  3 Pd 2.50-2.76, 1 Zr 2.77
Se (0.5115, 0.7738, 0.0229)  1 Pd 2.62, 2 Zr 2.77
Se (0.4885, 0.2262, 0.9771)  1 Pd 2.62, 2 Zr 2.77

Results
- Energy relative to the elements, uncorrected: -0.9211 eV/atom


No. 9
The following is a DFT calculation (PBE-GGA) of a relaxed structure of GaNi12Pt3.

Cell: 3.6426 3.6426 14.5202 Å, 90.00 90.00 90.00°
Closest atoms and distances in Å follow each position.
Positions (direct):
Ga (0.0000, 0.0000, 0.0000)  12 Ni 2.53-2.58
Ni (0.5000, 0.5000, 0.0000)  8 Ni 2.53, 4 Ga 2.58
Ni (0.5000, 0.5000, 0.2460)  4 Pt 2.58, 8 Ni 2.58-2.59
Ni (0.5000, 0.5000, 0.5000)  4 Pt 2.58, 8 Ni 2.59
Ni (0.5000, 0.5000, 0.7540)  4 Pt 2.58, 8 Ni 2.58-2.59
Ni (0.5000, 0.0000, 0.1205)  8 Ni 2.53-2.58, 2 Ga 2.53, 2 Pt 2.59
Ni (0.5000, 0.0000, 0.3732)  8 Ni 2.58-2.59, 4 Pt 2.58-2.59
Ni (0.5000, 0.0000, 0.6268)  8 Ni 2.58-2.59, 4 Pt 2.58-2.59
Ni (0.5000, 0.0000, 0.8795)  8 Ni 2.53-2.58, 2 Ga 2.53, 2 Pt 2.59
Ni (0.0000, 0.5000, 0.1205)  8 Ni 2.53-2.58, 2 Ga 2.53, 2 Pt 2.59
Ni (0.0000, 0.5000, 0.3732)  8 Ni 2.58-2.59, 4 Pt 2.58-2.59
Ni (0.0000, 0.5000, 0.6268)  8 Ni 2.58-2.59, 4 Pt 2.58-2.59
Ni (0.0000, 0.5000, 0.8795)  8 Ni 2.53-2.58, 2 Ga 2.53, 2 Pt 2.59
Pt (0.0000, 0.0000, 0.2475)  12 Ni 2.58-2.59
Pt (0.0000, 0.0000, 0.5000)  12 Ni 2.58-2.59
Pt (0.0000, 0.0000, 0.7525)  12 Ni 2.58-2.59

Results
- ΔH_f (0 K): -123 meV per atom


No. 10
The following is a DFT calculation (PBE-GGA) of a relaxed structure of Ag3SeI8.

Cell: 8.6310 8.6378 8.6904 Å, 119.94 90.00 119.97°
Closest atoms and distances in Å follow each position.
Positions (direct):
Ag (0.5000, 0.0000, 0.0000)  6 I 2.88-3.13
Ag (0.5000, 0.5000, 0.0000)  6 I 2.88-3.13
Ag (0.0000, 0.5000, 0.0000)  6 I 2.88-3.13
Se (0.0000, 0.0000, 0.0000)  6 I 2.85
I (0.2657, 0.5314, 0.7977)  3 Ag 2.88
I (0.7343, 0.4686, 0.2023)  3 Ag 2.88
I (0.2224, 0.9890, 0.7568)  1 Se 2.85, 2 Ag 3.13
I (0.7666, 0.9890, 0.7568)  1 Se 2.85, 2 Ag 3.13
I (0.7668, 0.5336, 0.7572)  1 Se 2.85, 2 Ag 3.13
I (0.2332, 0.4664, 0.2428)  1 Se 2.85, 2 Ag 3.13
I (0.2334, 0.0110, 0.2432)  1 Se 2.85, 2 Ag 3.13
I (0.7776, 0.0110, 0.2432)  1 Se 2.85, 2 Ag 3.13

Results
- Energy relative to the elements, uncorrected: -0.0354 eV/atom


No. 11
The following is a DFT calculation (PBE-GGA) of a relaxed structure of AlCr2Fe2.

Cell: 3.7436 3.7436 5.3314 Å, 69.45 69.45 90.00°
Closest atoms and distances in Å follow each position.
Positions (direct):
Cr (0.7500, 0.2500, 0.5000)  4 Fe 2.25
Cr (0.2500, 0.7500, 0.5000)  4 Fe 2.25
Fe (0.3858, 0.3858, 0.2284)  1 Fe 2.11, 4 Cr 2.25
Fe (0.6142, 0.6142, 0.7716)  1 Fe 2.11, 4 Cr 2.25
Al (0.0000, 0.0000, 0.0000)  8 Fe 2.85, 8 Cr 2.98

Results
- Excess energy over the best structure of this formula in the dataset: 226 meV per atom
- ΔH_f (0 K): 214 meV per atom


No. 12
The following is a DFT calculation (PBE-GGA) of a relaxed structure of Pr4In8Ni7.

Cell: 14.1926 14.1926 4.3830 Å, 90.00 90.00 117.21°
Closest atoms and distances in Å follow each position.
Positions (direct):
Pr (0.1834, 0.1834, 0.0000)  2 Ni 2.86
Pr (0.8166, 0.8166, 0.0000)  2 Ni 2.86
Pr (0.3473, 0.9955, 0.0000)  3 Ni 2.87-3.14
Pr (0.6527, 0.0045, 0.0000)  3 Ni 2.87-3.14
Pr (0.9955, 0.3473, 0.0000)  3 Ni 2.87-3.14
Pr (0.0045, 0.6527, 0.0000)  3 Ni 2.87-3.14
Pr (0.6054, 0.3946, 0.5000)  10 Ni 3.14-3.30, 4 In 3.34-3.37
Pr (0.3946, 0.6054, 0.5000)  10 Ni 3.14-3.30, 4 In 3.34-3.37
In (0.1892, 0.8108, 0.5000)  2 Ni 2.69
In (0.8108, 0.1892, 0.5000)  2 Ni 2.69
In (0.0862, 0.9138, 0.0000)  4 Ni 2.62
In (0.9138, 0.0862, 0.0000)  4 Ni 2.62
In (0.8753, 0.4429, 0.5000)  2 Ni 2.69
In (0.1247, 0.5571, 0.5000)  2 Ni 2.69
In (0.4429, 0.8753, 0.5000)  2 Ni 2.69
In (0.5571, 0.1247, 0.5000)  2 Ni 2.69
In (0.0000, 0.0000, 0.5000)  4 Ni 2.71, 4 In 3.03
In (0.5000, 0.5000, 0.0000)  4 Ni 2.51
In (0.6310, 0.8187, 0.5000)  6 Ni 2.64-2.92
In (0.3690, 0.1813, 0.5000)  6 Ni 2.64-2.92
In (0.8187, 0.6310, 0.5000)  6 Ni 2.64-2.92
In (0.1813, 0.3690, 0.5000)  6 Ni 2.64-2.92
In (0.7217, 0.2783, 0.0000)  2 Ni 2.63
In (0.2783, 0.7217, 0.0000)  2 Ni 2.63
Ni (0.1916, 0.0017, 0.5000)  5 In 2.62-2.71, 1 Ni 2.86
Ni (0.8084, 0.9983, 0.5000)  5 In 2.62-2.71, 1 Ni 2.86
Ni (0.0017, 0.1916, 0.5000)  5 In 2.62-2.71, 1 Ni 2.86
Ni (0.9983, 0.8084, 0.5000)  5 In 2.62-2.71, 1 Ni 2.86
Ni (0.6985, 0.5904, 0.0000)  4 Ni 2.41-2.62, 3 In 2.51-2.67
Ni (0.3015, 0.4096, 0.0000)  4 Ni 2.41-2.62, 3 In 2.51-2.67
Ni (0.5904, 0.6985, 0.0000)  4 Ni 2.41-2.62, 3 In 2.51-2.67
Ni (0.4096, 0.3015, 0.0000)  4 Ni 2.41-2.62, 3 In 2.51-2.67
Ni (0.6234, 0.6234, 0.5000)  4 Ni 2.57, 4 In 2.72-2.85
Ni (0.3766, 0.3766, 0.5000)  4 Ni 2.57, 4 In 2.72-2.85
Ni (0.4849, 0.7915, 0.0000)  1 Ni 2.41, 3 In 2.63-2.69
Ni (0.5151, 0.2085, 0.0000)  1 Ni 2.41, 3 In 2.63-2.69
Ni (0.7915, 0.4849, 0.0000)  1 Ni 2.41, 3 In 2.63-2.69
Ni (0.2085, 0.5151, 0.0000)  1 Ni 2.41, 3 In 2.63-2.69

Results
- ΔH_f (0 K): -383 meV per atom


Number 1: electronic total energy -2.48 eV/atom. Number 2: electronic total energy -2.09 eV/atom. Number 3: electronic total energy -4.75 eV/atom. Number 4: electronic total energy -3.90 eV/atom. Number 5: electronic total energy -5.47 eV/atom. Number 6: electronic total energy -4.27 eV/atom. Number 7: electronic total energy -3.75 eV/atom. Number 8: electronic total energy -4.79 eV/atom. Number 9: electronic total energy -5.78 eV/atom. Number 10: electronic total energy -2.07 eV/atom. Number 11: electronic total energy -7.77 eV/atom. Number 12: electronic total energy -4.67 eV/atom.